(1)
A relaxed MnSb2Ir crystal, computed with PBE-GGA.

```
MnSb2Ir
1.0
3.503 -2.007 0.000
3.503 2.007 0.000
-2.260 0.000 6.070
Mn Sb Ir
1 2 1
Cartesian
0.000 0.000 0.000
0.048 0.000 4.410
4.697 0.000 1.660
2.372 0.000 3.035
```

N(E_F) = 0.4378 states/eV/atom
Magnetization = 4.3 Bohr magnetons per cell
Calculated density = 9546 kg/m3

(2)
A relaxed MnSb2Ir crystal, computed with PBE-GGA.

```
MnSb2Ir
1.0
0.000 3.406 3.406
3.406 0.000 3.406
3.406 3.406 0.000
Mn Sb Ir
1 2 1
Cartesian
0.000 0.000 0.000
1.703 1.703 1.703
3.406 3.406 3.406
5.109 5.109 5.109
```

N(E_F) = 0.8757 states/eV/atom
Magnetization = 4.3 Bohr magnetons per cell
Calculated density = 10310 kg/m3

Least stable of them? (2).

(1)
A relaxed MnSb2Ir crystal, computed with PBE-GGA.

```
MnSb2Ir
1.0
-2.004 2.004 4.755
2.004 -2.004 4.755
2.004 2.004 -4.755
Mn Sb Ir
1 2 1
Cartesian
0.000 0.000 0.000
2.004 0.000 2.377
0.000 0.000 4.755
0.000 2.004 2.377
```

N(E_F) = 0.7312 states/eV/atom
Magnetization = 3.7 Bohr magnetons per cell
Calculated density = 10670 kg/m3

(2)
A relaxed MnSb2Ir crystal, computed with PBE-GGA.

```
MnSb2Ir
1.0
3.341 0.000 0.000
0.000 3.341 0.000
0.000 0.000 7.733
Mn Sb Ir
1 2 1
Cartesian
0.000 0.000 0.000
0.000 0.000 4.841
1.670 1.670 1.538
1.670 1.670 6.385
```

N(E_F) = 0.7807 states/eV/atom
Magnetization = 3.8 Bohr magnetons per cell
Calculated density = 9441 kg/m3

(3)
A relaxed MnSb2Ir crystal, computed with PBE-GGA.

```
MnSb2Ir
1.0
0.000 3.342 3.342
3.342 0.000 3.342
3.342 3.342 0.000
Mn Sb Ir
1 2 1
Cartesian
0.000 0.000 0.000
1.671 1.671 1.671
5.013 5.013 5.013
3.342 3.342 3.342
```

N(E_F) = 1.1461 states/eV/atom
Magnetization = 3.5 Bohr magnetons per cell
Calculated density = 10915 kg/m3

Least stable of them? (1).

(1)
A relaxed MnSb2Ir crystal, computed with PBE-GGA.

```
MnSb2Ir
1.0
-1.603 2.088 6.116
1.603 -2.088 6.116
1.603 2.088 -6.116
Mn Sb Ir
1 2 1
Cartesian
0.000 0.000 0.000
1.603 0.000 4.267
0.000 0.000 7.433
0.000 2.088 3.589
```

N(E_F) = 0.5546 states/eV/atom
Magnetization = 3.7 Bohr magnetons per cell
Calculated density = 9955 kg/m3

(2)
A relaxed MnSb2Ir crystal, computed with PBE-GGA.

```
MnSb2Ir
1.0
3.139 0.000 0.000
0.000 3.541 0.000
0.000 0.000 6.785
Mn Sb Ir
1 2 1
Cartesian
0.000 0.000 0.000
1.570 1.771 1.736
1.570 1.771 5.049
0.000 0.000 3.392
```

N(E_F) = 0.6908 states/eV/atom
Magnetization = 3.6 Bohr magnetons per cell
Calculated density = 10803 kg/m3

Least stable of them? (2).

(1)
A relaxed MnSb2TeIr crystal, computed with PBE-GGA.

```
MnSb2TeIr
1.0
5.048 0.000 0.000
0.000 5.048 0.000
0.000 0.000 5.462
Mn Sb Te Ir
1 2 1 1
Cartesian
0.000 0.000 0.000
0.000 2.524 2.731
2.524 0.000 2.731
2.524 2.524 0.000
2.524 2.524 2.731
```

N(E_F) = 1.3991 states/eV/atom
Magnetization = 0.1 Bohr magnetons per cell
Calculated density = 7376 kg/m3

(2)
A relaxed MnSb2TeIr crystal, computed with PBE-GGA.

```
MnSb2TeIr
1.0
4.839 0.000 0.000
0.000 4.839 0.000
0.000 0.000 4.898
Mn Sb Te Ir
1 2 1 1
Cartesian
0.000 0.000 0.000
0.000 2.420 0.000
2.420 0.000 0.000
0.000 0.000 2.449
2.420 2.420 2.449
```

N(E_F) = 0.6815 states/eV/atom
Magnetization = 1.1 Bohr magnetons per cell
Calculated density = 8950 kg/m3

Least stable of them? (1).

(1)
A relaxed ScMnIr crystal, computed with PBE-GGA.

```
ScMnIr
1.0
4.366 0.000 0.000
-2.183 3.781 0.000
0.000 0.000 2.961
Sc Mn Ir
1 1 1
Cartesian
0.000 0.000 0.000
0.000 2.521 1.797
2.183 1.260 1.067
```

N(E_F) = 0.9505 states/eV/atom
Magnetization = 3.7 Bohr magnetons per cell
Calculated density = 9926 kg/m3

(2)
A relaxed ScMnIr crystal, computed with PBE-GGA.

```
ScMnIr
1.0
1.574 -6.955 0.000
1.574 6.955 0.000
0.000 0.000 4.490
Sc Mn Ir
2 2 2
Cartesian
1.574 5.764 3.367
1.574 -5.764 1.122
1.574 3.696 1.122
1.574 -3.696 3.367
1.574 1.155 3.367
1.574 -1.155 1.122
```

N(E_F) = 0.5980 states/eV/atom
Magnetization = 7.2 Bohr magnetons per cell
Calculated density = 9872 kg/m3

(3)
A relaxed ScMnIr crystal, computed with PBE-GGA.

```
ScMnIr
1.0
0.000 3.096 3.096
3.096 0.000 3.096
3.096 3.096 0.000
Sc Mn Ir
1 1 1
Cartesian
0.000 0.000 0.000
3.096 3.096 3.096
1.548 1.548 1.548
```

N(E_F) = 0.6343 states/eV/atom
Magnetization = 4.4 Bohr magnetons per cell
Calculated density = 8176 kg/m3

(4)
A relaxed ScMnIr crystal, computed with PBE-GGA.

```
ScMnIr
1.0
0.000 3.060 3.060
3.060 0.000 3.060
3.060 3.060 0.000
Sc Mn Ir
1 1 1
Cartesian
0.000 0.000 0.000
4.590 4.590 4.590
1.530 1.530 1.530
```

N(E_F) = 0.7241 states/eV/atom
Magnetization = 4.0 Bohr magnetons per cell
Calculated density = 8466 kg/m3

Least stable of them? (4).

(1)
A relaxed MnIr3Se crystal, computed with PBE-GGA.

```
MnIr3Se
1.0
4.492 0.000 0.000
0.000 4.492 0.000
0.000 0.000 4.492
Mn Ir Se
1 3 1
Cartesian
0.000 0.000 0.000
0.000 0.000 2.246
0.000 2.246 0.000
2.246 0.000 0.000
2.246 2.246 2.246
```

N(E_F) = 1.4440 states/eV/atom
Magnetization = 0.0 Bohr magnetons per cell
Calculated density = 13019 kg/m3

(2)
A relaxed MnIr3Se crystal, computed with PBE-GGA.

```
MnIr3Se
1.0
4.576 0.000 0.000
0.000 4.576 0.000
0.000 0.000 4.576
Mn Ir Se
1 3 1
Cartesian
0.000 0.000 0.000
0.000 2.288 2.288
2.288 0.000 2.288
2.288 2.288 0.000
2.288 2.288 2.288
```

N(E_F) = 1.2957 states/eV/atom
Magnetization = 5.5 Bohr magnetons per cell
Calculated density = 12311 kg/m3

Least stable of them? (1).